[1]
Here is a geometry-optimized PuMgZnNi structure from Alexandria. Energies are from GGA-PBE.

a = 4.7290 Å, b = 4.7290 Å, c = 4.7290 Å
α = 60.00°, β = 60.00°, γ = 60.00°
With the nearest neighbours (Å) after each atom.
Fractional coordinates of all 4 atoms:
Ni: 0.2500 0.2500 0.2500  4 Mg 2.90, 4 Pu 2.90
Zn: 0.7500 0.7500 0.7500  4 Mg 2.90, 4 Pu 2.90
Mg: 0.5000 0.5000 0.5000  4 Zn 2.90, 4 Ni 2.90
Pu: 0.0000 0.0000 0.0000  4 Ni 2.90, 4 Zn 2.90

VASP energy (eV/atom): -5.78
ρ (g/cm³): 8.71

=====

[2]
Here is a geometry-optimized RbMg2Ni structure from Alexandria. Energies are from GGA-PBE.

a = 5.2079 Å, b = 5.2079 Å, c = 5.2079 Å
α = 60.00°, β = 60.00°, γ = 60.00°
With the nearest neighbours (Å) after each atom.
Fractional coordinates of all 4 atoms:
Ni: 0.0000 0.0000 0.0000  8 Mg 3.19
Mg: 0.2500 0.2500 0.2500  4 Ni 3.19, 4 Rb 3.19
Mg: 0.7500 0.7500 0.7500  4 Ni 3.19, 4 Rb 3.19
Rb: 0.5000 0.5000 0.5000  8 Mg 3.19

VASP energy (eV/atom): -1.88
Relative energy among the computed polymorphs (meV per atom): 204
ρ (g/cm³): 3.20

=====

[3]
Here is a geometry-optimized RbMg6Ni structure from Alexandria. Energies are from GGA-PBE.

a = 9.3636 Å, b = 9.3636 Å, c = 4.7049 Å
α = 90.00°, β = 90.00°, γ = 143.59°
With the nearest neighbours (Å) after each atom.
Fractional coordinates of all 8 atoms:
Rb: 0.7721 0.2279 0.0000  4 Mg 3.72-3.75, 2 Ni 3.98
Mg: 0.7216 0.7828 0.5000  1 Ni 2.63, 1 Mg 2.90
Mg: 0.2172 0.2784 0.5000  1 Ni 2.63, 1 Mg 2.90
Mg: 0.1368 0.8632 0.5000  6 Mg 3.00-3.31, 2 Ni 3.03
Mg: 0.8142 0.6579 0.0000  2 Ni 2.74, 5 Mg 2.76-3.05
Mg: 0.3421 0.1858 0.0000  2 Ni 2.74, 5 Mg 2.76-3.05
Mg: 0.4039 0.5961 0.0000  4 Mg 3.01
Ni: 0.5920 0.4080 0.5000  6 Mg 2.63-2.74

VASP energy (eV/atom): -1.83
Relative energy among the computed polymorphs (meV per atom): 13
ρ (g/cm³): 1.97

=====

[4]
Here is a geometry-optimized Rb2MgNi structure from Alexandria. Energies are from GGA-PBE.

a = 12.5325 Å, b = 12.5325 Å, c = 9.2037 Å
α = 47.09°, β = 47.09°, γ = 90.00°
With the nearest neighbours (Å) after each atom.
Fractional coordinates of all 8 atoms:
Ni: 0.0000 0.0000 0.0000  2 Mg 2.49
Ni: 0.7500 0.2500 0.5000  2 Mg 2.49
Mg: 0.5000 0.5000 0.0000  2 Ni 2.49
Mg: 0.2500 0.7500 0.5000  2 Ni 2.49
Rb: 0.7988 0.1250 0.2500  2 Ni 3.33
Rb: 0.9512 0.6250 0.2500  2 Ni 3.33
Rb: 0.3750 0.2012 0.7500  2 Ni 3.33
Rb: 0.8750 0.0488 0.7500  2 Ni 3.33

VASP energy (eV/atom): -1.84
ρ (g/cm³): 2.16

=====

[5]
Here is a geometry-optimized RbMgNi3 structure from Alexandria. Energies are from GGA-PBE.

a = 4.7608 Å, b = 4.7608 Å, c = 4.7608 Å
α = 90.00°, β = 90.00°, γ = 90.00°
With the nearest neighbours (Å) after each atom.
Fractional coordinates of all 5 atoms:
Ni: 0.0000 0.5000 0.0000  2 Mg 2.38
Ni: 0.0000 0.0000 0.5000  2 Mg 2.38
Ni: 0.5000 0.0000 0.0000  2 Mg 2.38
Mg: 0.0000 0.0000 0.0000  6 Ni 2.38
Rb: 0.5000 0.5000 0.5000  12 Ni 3.37

VASP energy (eV/atom): -2.92
Relative energy among the computed polymorphs (meV per atom): 0
ρ (g/cm³): 4.40

=====

[6]
Here is a geometry-optimized RbMgNi3 structure from Alexandria. Energies are from GGA-PBE.

a = 4.7268 Å, b = 4.7268 Å, c = 4.7268 Å
α = 90.00°, β = 90.00°, γ = 90.00°
With the nearest neighbours (Å) after each atom.
Fractional coordinates of all 5 atoms:
Ni: 0.0000 0.5000 0.0000  2 Rb 2.36
Ni: 0.0000 0.0000 0.5000  2 Rb 2.36
Ni: 0.5000 0.0000 0.0000  2 Rb 2.36
Mg: 0.5000 0.5000 0.5000  12 Ni 3.34
Rb: 0.0000 0.0000 0.0000  6 Ni 2.36

VASP energy (eV/atom): -2.11
Relative energy among the computed polymorphs (meV per atom): 813
ρ (g/cm³): 4.49

=====

[7]
Here is a geometry-optimized RbMg3Ni structure from Alexandria. Energies are from GGA-PBE.

a = 5.1261 Å, b = 5.1261 Å, c = 5.1261 Å
α = 90.00°, β = 90.00°, γ = 90.00°
With the nearest neighbours (Å) after each atom.
Fractional coordinates of all 5 atoms:
Ni: 0.0000 0.0000 0.0000  6 Mg 2.56
Mg: 0.0000 0.5000 0.0000  2 Ni 2.56
Mg: 0.0000 0.0000 0.5000  2 Ni 2.56
Mg: 0.5000 0.0000 0.0000  2 Ni 2.56
Rb: 0.5000 0.5000 0.5000  12 Mg 3.62

VASP energy (eV/atom): -2.21
Relative energy among the computed polymorphs (meV per atom): 0
ρ (g/cm³): 2.68

=====

[8]
Here is a geometry-optimized RbMg2Ni structure from Alexandria. Energies are from GGA-PBE.

a = 6.8220 Å, b = 6.8220 Å, c = 8.2591 Å
α = 65.61°, β = 65.61°, γ = 90.00°
With the nearest neighbours (Å) after each atom.
Fractional coordinates of all 8 atoms:
Ni: 0.5000 0.5000 0.0000  4 Mg 2.39
Ni: 0.2500 0.7500 0.5000  4 Mg 2.39
Mg: 0.3725 0.1250 0.2500  2 Ni 2.39
Mg: 0.3775 0.6250 0.2500  2 Ni 2.39
Mg: 0.3750 0.6275 0.7500  2 Ni 2.39
Mg: 0.8750 0.6225 0.7500  2 Ni 2.39
Rb: 0.0000 0.0000 0.0000  8 Mg 4.15-4.18
Rb: 0.7500 0.2500 0.5000  8 Mg 4.15-4.18

VASP energy (eV/atom): -2.08
Relative energy among the computed polymorphs (meV per atom): 0
ρ (g/cm³): 2.05

=====

[9]
Here is a geometry-optimized RbMg6Ni structure from Alexandria. Energies are from GGA-PBE.

a = 8.5581 Å, b = 8.5581 Å, c = 3.8461 Å
α = 90.00°, β = 90.00°, γ = 126.61°
With the nearest neighbours (Å) after each atom.
Fractional coordinates of all 8 atoms:
Rb: 0.2838 0.7162 0.5000  6 Mg 3.58-3.63, 2 Rb 3.85
Mg: 0.7571 0.6328 0.5000  1 Ni 2.67
Mg: 0.3672 0.2429 0.5000  1 Ni 2.67
Mg: 0.7223 0.9041 0.0000  2 Ni 2.62, 1 Mg 2.87
Mg: 0.0959 0.2777 0.0000  2 Ni 2.62, 1 Mg 2.87
Mg: 0.7095 0.2905 0.0000  6 Mg 3.32-3.37
Mg: 0.0861 0.9139 0.0000  2 Ni 2.53
Ni: 0.9782 0.0218 0.5000  8 Mg 2.53-2.67

VASP energy (eV/atom): -1.85
Relative energy among the computed polymorphs (meV per atom): 0
ρ (g/cm³): 2.13

=====

[10]
Here is a geometry-optimized RbMg3Ni structure from Alexandria. Energies are from GGA-PBE.

a = 6.9990 Å, b = 6.9990 Å, c = 6.9990 Å
α = 90.00°, β = 90.00°, γ = 90.00°
With the nearest neighbours (Å) after each atom.
Fractional coordinates of all 5 atoms:
Ni: 0.5000 0.5000 0.5000  12 Mg 4.95
Mg: 0.0000 0.5000 0.0000  2 Rb 3.50
Mg: 0.0000 0.0000 0.5000  2 Rb 3.50
Mg: 0.5000 0.0000 0.0000  2 Rb 3.50
Rb: 0.0000 0.0000 0.0000  6 Mg 3.50

VASP energy (eV/atom): -0.69
Relative energy among the computed polymorphs (meV per atom): 1521
ρ (g/cm³): 1.05

=====

[11]
Here is a geometry-optimized RbSr2MgNi structure from Alexandria. Energies are from GGA-PBE.

a = 5.9694 Å, b = 5.9694 Å, c = 5.3808 Å
α = 90.00°, β = 90.00°, γ = 90.00°
With the nearest neighbours (Å) after each atom.
Fractional coordinates of all 5 atoms:
Sr: 0.0000 0.5000 0.0000  2 Ni 2.98
Sr: 0.5000 0.0000 0.0000  2 Ni 2.98
Mg: 0.0000 0.0000 0.5000  2 Ni 2.69
Rb: 0.5000 0.5000 0.5000  8 Sr 4.02, 4 Mg 4.22
Ni: 0.0000 0.0000 0.0000  2 Mg 2.69, 4 Sr 2.98

VASP energy (eV/atom): -2.24
ρ (g/cm³): 2.98

=====

[12]
Here is a geometry-optimized RbMgTl2Ni structure from Alexandria. Energies are from GGA-PBE.

a = 5.2337 Å, b = 5.2337 Å, c = 5.1788 Å
α = 90.00°, β = 90.00°, γ = 90.00°
With the nearest neighbours (Å) after each atom.
Fractional coordinates of all 5 atoms:
Ni: 0.0000 0.0000 0.0000  2 Mg 2.59, 4 Tl 2.62
Tl: 0.0000 0.5000 0.0000  2 Ni 2.62
Tl: 0.5000 0.0000 0.0000  2 Ni 2.62
Mg: 0.0000 0.0000 0.5000  2 Ni 2.59
Rb: 0.5000 0.5000 0.5000  8 Tl 3.68, 4 Mg 3.70

VASP energy (eV/atom): -2.58
ρ (g/cm³): 6.76

=====

[13]
Here is a geometry-optimized RbMg2TlNi structure from Alexandria. Energies are from GGA-PBE.

a = 5.1591 Å, b = 5.1591 Å, c = 5.1389 Å
α = 90.00°, β = 90.00°, γ = 90.00°
With the nearest neighbours (Å) after each atom.
Fractional coordinates of all 5 atoms:
Ni: 0.0000 0.0000 0.0000  2 Tl 2.57, 4 Mg 2.58
Tl: 0.0000 0.0000 0.5000  2 Ni 2.57
Mg: 0.0000 0.5000 0.0000  2 Ni 2.58
Mg: 0.5000 0.0000 0.0000  2 Ni 2.58
Rb: 0.5000 0.5000 0.5000  8 Mg 3.64, 4 Tl 3.65

VASP energy (eV/atom): -2.42
ρ (g/cm³): 4.82

=====

[14]
Here is a geometry-optimized Rb2MgTlNi structure from Alexandria. Energies are from GGA-PBE.

a = 6.4360 Å, b = 4.9396 Å, c = 6.4360 Å
α = 90.00°, β = 90.00°, γ = 90.00°
With the nearest neighbours (Å) after each atom.
Fractional coordinates of all 5 atoms:
Ni: 0.0000 0.0000 0.0000  2 Mg 2.47
Tl: 0.5000 0.5000 0.5000  8 Rb 4.06
Mg: 0.0000 0.5000 0.0000  2 Ni 2.47
Rb: 0.0000 0.0000 0.5000  2 Ni 3.22
Rb: 0.5000 0.0000 0.0000  2 Ni 3.22

VASP energy (eV/atom): -1.90
ρ (g/cm³): 3.72

=====

[15]
Here is a geometry-optimized RbMgV2Ni structure from Alexandria. Energies are from GGA-PBE.

a = 4.7391 Å, b = 4.7391 Å, c = 5.8084 Å
α = 90.00°, β = 90.00°, γ = 90.00°
With the nearest neighbours (Å) after each atom.
Fractional coordinates of all 5 atoms:
Ni: 0.0000 0.0000 0.0000  4 V 2.37
Mg: 0.5000 0.5000 0.5000  4 Rb 3.35, 8 V 3.75
Rb: 0.0000 0.0000 0.5000  2 Ni 2.90
V: 0.0000 0.5000 0.0000  2 Ni 2.37
V: 0.5000 0.0000 0.0000  2 Ni 2.37

VASP energy (eV/atom): -4.11
ρ (g/cm³): 3.44

=====

[16]
Here is a geometry-optimized RbMg2ZnNi structure from Alexandria. Energies are from GGA-PBE.

a = 5.0715 Å, b = 5.0715 Å, c = 4.8911 Å
α = 90.00°, β = 90.00°, γ = 90.00°
With the nearest neighbours (Å) after each atom.
Fractional coordinates of all 5 atoms:
Ni: 0.0000 0.0000 0.0000  2 Zn 2.45, 4 Mg 2.54
Zn: 0.0000 0.0000 0.5000  2 Ni 2.45
Mg: 0.0000 0.5000 0.0000  2 Ni 2.54
Mg: 0.5000 0.0000 0.0000  2 Ni 2.54
Rb: 0.5000 0.5000 0.5000  8 Mg 3.52, 4 Zn 3.59

VASP energy (eV/atom): -2.16
ρ (g/cm³): 3.41

=====

[17]
Here is a geometry-optimized Mg2ReNi structure from Alexandria. Energies are from GGA-PBE.

a = 5.0373 Å, b = 5.0373 Å, c = 2.6424 Å
α = 90.00°, β = 90.00°, γ = 114.13°
With the nearest neighbours (Å) after each atom.
Fractional coordinates of all 4 atoms:
Mg: 0.0000 0.0000 0.0000  4 Mg 2.64-2.74, 4 Re 2.84, 4 Ni 2.84
Mg: 0.5000 0.5000 0.0000  4 Mg 2.64-2.74, 4 Ni 2.84, 4 Re 2.84
Ni: 0.5000 0.0000 0.5000  2 Ni 2.64, 2 Re 2.74, 8 Mg 2.84
Re: 0.0000 0.5000 0.5000  2 Re 2.64, 2 Ni 2.74, 8 Mg 2.84

VASP energy (eV/atom): -5.10
Relative energy among the computed polymorphs (meV per atom): 153
ρ (g/cm³): 7.96

=====

[18]
Here is a geometry-optimized MgReNi4 structure from Alexandria. Energies are from GGA-PBE.

a = 4.7325 Å, b = 4.7325 Å, c = 4.7325 Å
α = 60.00°, β = 60.00°, γ = 60.00°
With the nearest neighbours (Å) after each atom.
Fractional coordinates of all 6 atoms:
Mg: 0.0000 0.0000 0.0000  12 Ni 2.78, 4 Re 2.90
Re: 0.2500 0.2500 0.2500  12 Ni 2.77, 4 Mg 2.90
Ni: 0.6247 0.6247 0.1260  6 Ni 2.36-2.37
Ni: 0.6247 0.1260 0.6247  6 Ni 2.36-2.37
Ni: 0.6247 0.6247 0.6247  6 Ni 2.36-2.37
Ni: 0.1260 0.6247 0.6247  6 Ni 2.36-2.37

VASP energy (eV/atom): -6.10
ρ (g/cm³): 9.87

=====

[19]
Here is a geometry-optimized Mg2ReNi structure from Alexandria. Energies are from GGA-PBE.

a = 2.6957 Å, b = 2.6957 Å, c = 8.2734 Å
α = 90.00°, β = 90.00°, γ = 90.00°
With the nearest neighbours (Å) after each atom.
Fractional coordinates of all 4 atoms:
Mg: 0.0000 0.0000 0.0245  4 Ni 2.67, 4 Mg 2.70, 4 Re 2.96
Mg: 0.0000 0.0000 0.4755  4 Ni 2.67, 4 Mg 2.70, 4 Re 2.96
Ni: 0.5000 0.5000 0.2500  8 Mg 2.67, 4 Ni 2.70
Re: 0.5000 0.5000 0.7500  4 Re 2.70, 8 Mg 2.96

VASP energy (eV/atom): -5.20
Relative energy among the computed polymorphs (meV per atom): 57
ρ (g/cm³): 8.11

=====

[20]
Here is a geometry-optimized MgRe2Ni structure from Alexandria. Energies are from GGA-PBE.

a = 4.4869 Å, b = 2.6310 Å, c = 5.0124 Å
α = 79.14°, β = 90.00°, γ = 90.00°
With the nearest neighbours (Å) after each atom.
Fractional coordinates of all 4 atoms:
Mg: 0.5000 0.2500 0.2500  2 Ni 2.60, 2 Mg 2.63, 4 Re 2.75
Ni: 0.5000 0.7500 0.7500  2 Mg 2.60, 2 Ni 2.63, 4 Re 2.68
Re: 0.0000 0.9598 0.9994  4 Re 2.55-2.67, 2 Ni 2.68, 2 Mg 2.75
Re: 0.0000 0.5402 0.5006  4 Re 2.55-2.67, 2 Ni 2.68, 2 Mg 2.75

VASP energy (eV/atom): -7.83
ρ (g/cm³): 13.01

=====

It is found that the energy of formation values, taken in the order of the records, are -0.032 0.608 0.207 0.484 1.062 1.875 0.094 0.404 0.194 1.615 0.098 0.039 0.044 0.438 1.203 0.078 0.250 0.094 0.154 0.237 eV/atom.